KNi2SnF after structural relaxation, computed with GGA+U.

VASP energy: -12.39 eV/cell
SG: P4/mmm (123)

Lattice parameters (Å, degrees): 4.6117 4.6117 4.6636 90.00 90.00 90.00
Element x y z (fractional)
K: 0.0000 0.0000 0.0000
Ni: 0.0000 0.5000 0.5000
Ni: 0.5000 0.0000 0.5000
Sn: 0.5000 0.5000 0.0000
F: 0.0000 0.0000 0.5000